Entry from Alexandria: crystalline LaCoMo2 at its relaxed geometry (PBE).

Calculated values
**Magnetic moment**: 0.0 μB per formula unit
**ΔE to the lowest computed polymorph**: 287 meV per atom
**Energy relative to the elements**: 0.604 eV/atom

Cell: 3.7725 3.7725 5.1752 Å, 90.00 90.00 90.00°
Space group P4/mmm (No. 123)
Asymmetric unit:
La: 0.0000 0.0000 0.0000 x1
Co: 0.5000 0.5000 0.0000 x1
Mo: 0.0000 0.5000 0.5000 x2

Entry from Alexandria: crystalline NpAlF5 at its relaxed geometry (PBE).

Calculated values
**Magnetic moment**: 5.0 μB per formula unit
**E_tot**: -192.30 eV/cell

Cell: 8.7819 7.1455 7.0329 Å, 90.00 111.47 90.00°
Space group C2/c (No. 15)
Asymmetric unit:
Np: 0.0000 0.0189 0.2500 x4
Al: 0.0000 0.5000 0.0000 x4
F: 0.0000 0.4191 0.2500 x4
F: 0.0592 0.2622 0.9658 x8
F: 0.2127 0.4335 0.6175 x8

Entry from Alexandria: crystalline BeCoW2 at its relaxed geometry (PBE).

Calculated values
**Magnetic moment**: 0.3 μB per formula unit
**Energy relative to the elements**: 0.126 eV/atom

Cell: 2.6882 3.6029 5.3364 Å, 90.00 92.71 90.00°
Space group P2/m (No. 10)
Asymmetric unit:
Be: 0.0000 0.0000 0.0000 x1
Co: 0.0000 0.0000 0.5000 x1
W: 0.4827 0.5000 0.2438 x2

Entry from Alexandria: crystalline ZrAs2Cl at its relaxed geometry (PBE).

Calculated values
**Magnetic moment**: 0.0 μB per formula unit
**ΔE to the lowest computed polymorph**: 33 meV per atom

Cell: 3.1951 4.6295 8.0661 Å, 99.02 98.61 97.90°
Space group P1 (No. 1)
Asymmetric unit:
Zr: 0.0000 0.0000 0.0000 x1
As: 0.4420 0.7707 0.6905 x1
As: 0.4481 0.4758 0.9080 x1
Cl: 0.6339 0.1181 0.2548 x1

Entry from Alexandria: crystalline AcTmGa2 at its relaxed geometry (PBE).

Calculated values
**Magnetic moment**: 0.0 μB per formula unit
**Energy relative to the elements**: -0.288 eV/atom

Cell: 3.8092 3.8092 27.1664 Å, 90.00 90.00 120.00°
Space group R-3m (No. 166, hexagonal axes)
Asymmetric unit:
Ac: 0.0000 0.0000 0.0000 x3
Tm: 0.0000 0.0000 0.5000 x3
Ga: 0.0000 0.0000 0.2424 x6

Entry from Alexandria: crystalline ScPbBr2 at its relaxed geometry (PBE).

Calculated values
**Magnetic moment**: 0.0 μB per formula unit
**ΔE to the lowest computed polymorph**: 417 meV per atom

Cell: 3.8429 6.3527 9.9725 Å, 90.00 90.00 90.00°
Space group Cmm2 (No. 35)
Asymmetric unit:
Sc: 0.0000 0.0000 0.0000 x2
Pb: 0.0000 0.5000 0.7513 x2
Br: 0.0000 0.0000 0.5265 x2
Br: 0.0000 0.5000 0.1812 x2